1.
A plane-wave DFT calculation with PBE was carried out for UTl3Ag2Te6 after structural relaxation.

Lattice parameters (Å, degrees): 7.4897 7.4897 8.6212 97.64 97.64 123.87
Element x y z (fractional)
1 U 0.0000 0.0000 0.0000
2 Tl 0.1727 0.8273 0.5000
3 Tl 0.5000 0.5000 0.5000
4 Tl 0.8273 0.1727 0.5000
5 Ag 0.3519 0.6481 0.0000
6 Ag 0.6481 0.3519 0.0000
7 Te 0.0776 0.4006 0.2018
8 Te 0.2402 0.2402 0.7724
9 Te 0.4006 0.0776 0.2018
10 Te 0.5994 0.9224 0.7982
11 Te 0.7598 0.7598 0.2276
12 Te 0.9224 0.5994 0.7982

Computed properties:
The calculation puts the energy relative to the elements, uncorrected at -25.78 kJ/mol of atoms. The magnetic moment comes out at 0.00 μB per cell. The total energy is -3.8455 eV per atom. The density of states at the Fermi level is 0.67 states/eV per atom.


2.
A plane-wave DFT calculation with PBE was carried out for RbLiCr3 after structural relaxation.

Lattice parameters (Å, degrees): 5.9719 5.9719 5.9719 90.00 90.00 90.00
Element x y z (fractional)
1 Rb 0.0000 0.0000 0.0000
2 Li 0.5000 0.5000 0.5000
3 Cr 0.0000 0.0000 0.5000
4 Cr 0.0000 0.5000 0.0000
5 Cr 0.5000 0.0000 0.0000

Computed properties:
For the energy relative to the elements, the calculation gives 2.24 eV/atom. The magnetic moment comes out at 15.98 μB per cell. The total energy is -4.1099 eV per atom. The density of states at the Fermi level is 0.34 states/eV per atom.


3.
A plane-wave DFT calculation with PBE was carried out for KBaP2 after structural relaxation.

Lattice parameters (Å, degrees): 5.3646 5.3646 5.3646 60.00 60.00 60.00
Element x y z (fractional)
1 K 0.0000 0.0000 0.0000
2 Ba 0.2500 0.2500 0.2500
3 P 0.5000 0.5000 0.5000
4 P 0.7500 0.7500 0.7500

Computed properties:
For the energy relative to the elements, the calculation gives 0.08 eV/atom. The magnetic moment comes out at 0.00 μB per cell. The total energy is -3.3783 eV per atom. The density of states at the Fermi level is 0.87 states/eV per atom.


4.
A plane-wave DFT calculation with PBE was carried out for K5RbO3 after structural relaxation.

Lattice parameters (Å, degrees): 7.5442 7.5442 9.8999 107.05 107.05 70.72
Element x y z (fractional)
1 K 0.0586 0.0586 0.3731
2 K 0.1409 0.5184 0.3425
3 K 0.1901 0.8099 0.0000
4 K 0.3996 0.3996 0.7070
5 K 0.4816 0.8591 0.6575
6 K 0.5184 0.1409 0.3425
7 K 0.6004 0.6004 0.2930
8 K 0.8099 0.1901 0.0000
9 K 0.8591 0.4816 0.6575
10 K 0.9414 0.9414 0.6269
11 Rb 0.2673 0.2673 0.9593
12 Rb 0.7327 0.7327 0.0407
13 O 0.1612 0.1612 0.1740
14 O 0.1698 0.1698 0.6577
15 O 0.5000 0.5000 0.0000
16 O 0.5000 0.5000 0.5000
17 O 0.8302 0.8302 0.3423
18 O 0.8388 0.8388 0.8260

Computed properties:
The calculation puts the energy relative to the elements, uncorrected at -94.12 kJ/mol of atoms. The magnetic moment comes out at 0.40 μB per cell. The total energy is -3.3454 eV per atom.